# 1
# ScTa2Tl

A relaxed structure of ScTa2Tl (PBE, Alexandria via LeMat-Bulk).

Cell and atoms, written as POSCAR:
```
ScTa2Tl
1.0
-1.207 -0.413 2.738
-0.675 -2.458 -1.622
8.018 -4.122 2.912
Ta Tl Sc
2 1 1
direct
0.000 0.000 0.008
0.500 0.500 0.233
0.000 0.000 0.494
0.500 0.500 0.765
```

Summary:
Its calculated density is 12.253 g cm⁻³. The value obtained for the offset from the most stable computed form is 0.0784 eV/atom. For the spin magnetization, the calculation gives 0.000 μB per cell. Its symmetry is No. 35.



# 2
# ScTa2Tl

A relaxed structure of ScTa2Tl (PBE, Alexandria via LeMat-Bulk).

Cell and atoms, written as POSCAR:
```
ScTa2Tl
1.0
4.829 0.000 0.000
2.415 4.182 0.000
2.415 1.394 3.943
Ta Sc Tl
2 1 1
direct
0.250 0.250 0.250
0.000 0.000 0.000
0.500 0.500 0.500
0.750 0.750 0.750
```

Summary:
Its calculated density is 12.746 g cm⁻³. The value obtained for the offset from the most stable computed form is 0.1775 eV/atom. For the spin magnetization, the calculation gives 0.000 μB per cell. Its symmetry is No. 216.



# 3
# ScTaTl3

A relaxed structure of ScTaTl3 (PBE, Alexandria via LeMat-Bulk).

Cell and atoms, written as POSCAR:
```
ScTaTl3
1.0
5.393 0.000 0.000
0.000 5.393 0.000
0.000 0.000 5.393
Tl Ta Sc
3 1 1
direct
0.000 0.000 0.500
0.000 0.500 0.000
0.500 0.000 0.000
0.000 0.000 0.000
0.500 0.500 0.500
```

Summary:
Its calculated density is 8.884 g cm⁻³. The value obtained for the offset from the most stable computed form is 0.0000 eV/atom. For the spin magnetization, the calculation gives 0.000 μB per cell. Its symmetry is No. 221.



# 4
# ScTaTl2

A relaxed structure of ScTaTl2 (PBE, Alexandria via LeMat-Bulk).

Cell and atoms, written as POSCAR:
```
ScTaTl2
1.0
5.364 -0.004 0.000
-1.689 5.091 0.000
0.000 0.000 3.143
Tl Sc Ta
2 1 1
direct
0.000 0.000 0.000
0.500 0.500 0.000
0.500 0.000 0.500
0.000 0.500 0.500
```

Summary:
Its calculated density is 12.281 g cm⁻³. The uncorrected energy is -21.95 eV/cell. For the spin magnetization, the calculation gives 0.000 μB per cell. Its symmetry is No. 65.



# 5
# ScTaTl2

A relaxed structure of ScTaTl2 (PBE, Alexandria via LeMat-Bulk).

Cell and atoms, written as POSCAR:
```
ScTaTl2
1.0
5.113 0.000 0.000
2.557 4.428 0.000
2.557 1.476 4.175
Sc Tl Ta
1 2 1
direct
0.500 0.500 0.500
0.750 0.750 0.750
0.000 0.000 0.000
0.250 0.250 0.250
```

Summary:
Its calculated density is 11.150 g cm⁻³. The uncorrected energy is -20.13 eV/cell. For the spin magnetization, the calculation gives 2.400 μB per cell. Its symmetry is No. 216.



# 6
# Sc2TaTl

A relaxed structure of Sc2TaTl (PBE, Alexandria via LeMat-Bulk).

Cell and atoms, written as POSCAR:
```
Sc2TaTl
1.0
6.079 -0.001 0.001
3.063 5.250 -0.001
-3.949 -3.708 2.758
Sc Ta Tl
2 1 1
direct
0.012 0.012 0.000
0.735 0.235 0.500
0.494 0.494 0.000
0.259 0.759 0.500
```

Summary:
Its calculated density is 8.967 g cm⁻³. The value obtained for the offset from the most stable computed form is 0.1704 eV/atom. For the spin magnetization, the calculation gives 0.000 μB per cell. Its symmetry is No. 44.



# 7
# ScTaTl2

A relaxed structure of ScTaTl2 (PBE, Alexandria via LeMat-Bulk).

Cell and atoms, written as POSCAR:
```
ScTaTl2
1.0
-3.705 3.515 3.264
-4.291 0.539 4.247
1.727 1.256 4.830
Tl Sc Ta
2 1 1
direct
0.754 0.754 0.675
0.994 0.994 0.081
0.508 0.508 0.563
0.244 0.244 0.182
```

Summary:
Its calculated density is 11.957 g cm⁻³. The uncorrected energy is -21.91 eV/cell. For the spin magnetization, the calculation gives 0.000 μB per cell. Its symmetry is No. 8.



# 8
# ScTa2Tl

A relaxed structure of ScTa2Tl (PBE, Alexandria via LeMat-Bulk).

Cell and atoms, written as POSCAR:
```
ScTa2Tl
1.0
2.979 0.000 0.000
0.000 4.745 0.000
0.000 0.000 5.835
Ta Sc Tl
2 1 1
direct
0.000 0.000 0.984
0.000 0.000 0.516
0.500 0.500 0.750
0.500 0.500 0.250
```

Summary:
Its calculated density is 12.307 g cm⁻³. The value obtained for the offset from the most stable computed form is 0.2568 eV/atom. For the spin magnetization, the calculation gives 0.000 μB per cell. Its symmetry is No. 47.



# 9
# Sc2TaTl

A relaxed structure of Sc2TaTl (PBE, Alexandria via LeMat-Bulk).

Cell and atoms, written as POSCAR:
```
Sc2TaTl
1.0
-0.149 -1.293 5.781
2.372 -5.152 1.715
0.788 5.305 -2.521
Sc Ta Tl
2 1 1
direct
0.509 0.509 0.000
0.991 0.991 0.000
0.750 0.250 0.500
0.250 0.750 0.500
```

Summary:
Its calculated density is 9.162 g cm⁻³. The value obtained for the offset from the most stable computed form is 0.2131 eV/atom. For the spin magnetization, the calculation gives 0.000 μB per cell. Its symmetry is No. 71.



# 10
# ScTaTl2

A relaxed structure of ScTaTl2 (PBE, Alexandria via LeMat-Bulk).

Cell and atoms, written as POSCAR:
```
ScTaTl2
1.0
4.310 0.000 0.000
0.000 4.471 0.000
0.000 0.000 4.471
Ta Sc Tl
1 1 2
direct
0.500 0.000 0.500
0.500 0.500 0.000
0.000 0.000 0.000
0.000 0.500 0.500
```

Summary:
Its calculated density is 12.231 g cm⁻³. The uncorrected energy is -21.81 eV/cell. For the spin magnetization, the calculation gives 0.000 μB per cell. Its symmetry is No. 123.



# 11
# ScTa2Tl

A relaxed structure of ScTa2Tl (PBE, Alexandria via LeMat-Bulk).

Cell and atoms, written as POSCAR:
```
ScTa2Tl
1.0
5.417 0.007 -0.014
4.556 2.931 -0.014
0.793 0.234 5.123
Tl Ta Sc
1 2 1
direct
0.750 0.750 0.750
0.495 0.495 0.495
0.005 0.005 0.005
0.250 0.250 0.250
```

Summary:
Its calculated density is 12.495 g cm⁻³. The value obtained for the offset from the most stable computed form is 0.1824 eV/atom. For the spin magnetization, the calculation gives 0.000 μB per cell. Its symmetry is No. 12.



# 12
# Sc2TaTl

A relaxed structure of Sc2TaTl (PBE, Alexandria via LeMat-Bulk).

Cell and atoms, written as POSCAR:
```
Sc2TaTl
1.0
-1.618 2.392 -1.127
-2.244 -0.545 2.068
4.080 5.533 5.884
Ta Sc Tl
1 2 1
direct
0.500 0.500 0.250
0.000 0.000 0.487
0.000 0.000 0.013
0.500 0.500 0.750
```

Summary:
Its calculated density is 9.074 g cm⁻³. The value obtained for the offset from the most stable computed form is 0.0000 eV/atom. For the spin magnetization, the calculation gives 0.001 μB per cell. Its symmetry is No. 123.



# 13
# Sc2TaTl

A relaxed structure of Sc2TaTl (PBE, Alexandria via LeMat-Bulk).

Cell and atoms, written as POSCAR:
```
Sc2TaTl
1.0
3.117 0.000 0.000
0.000 5.563 -0.011
0.000 3.646 4.983
Ta Sc Tl
1 2 1
direct
0.500 0.500 0.500
0.000 0.000 0.000
0.500 0.500 0.000
0.000 0.000 0.500
```

Summary:
Its calculated density is 9.120 g cm⁻³. The value obtained for the offset from the most stable computed form is 0.2260 eV/atom. For the spin magnetization, the calculation gives 0.002 μB per cell. Its symmetry is No. 10.



# 14
# Sc2TaTl

A relaxed structure of Sc2TaTl (PBE, Alexandria via LeMat-Bulk).

Cell and atoms, written as POSCAR:
```
Sc2TaTl
1.0
-1.502 -0.821 -2.545
0.003 -2.920 0.940
-8.198 1.405 4.385
Tl Sc Ta
1 2 1
direct
0.500 0.500 0.743
0.500 0.500 0.270
0.000 0.000 0.989
0.000 0.000 0.498
```

Summary:
Its calculated density is 8.918 g cm⁻³. The value obtained for the offset from the most stable computed form is 0.1628 eV/atom. For the spin magnetization, the calculation gives 0.248 μB per cell. Its symmetry is No. 99.



# 15
# Sc4Ta2Tl

A relaxed structure of Sc4Ta2Tl (PBE, Alexandria via LeMat-Bulk).

Cell and atoms, written as POSCAR:
```
Sc4Ta2Tl
1.0
5.435 0.000 0.000
0.000 5.435 0.000
2.717 2.717 6.779
Ta Sc Tl
2 4 1
direct
0.411 0.411 0.177
0.589 0.589 0.823
0.792 0.792 0.416
0.208 0.208 0.584
0.500 0.000 0.000
0.000 0.500 0.000
0.000 0.000 0.000
```

Summary:
Its calculated density is 6.188 g cm⁻³. The uncorrected energy is -44.73 eV/cell. For the spin magnetization, the calculation gives 1.515 μB per cell. Its symmetry is No. 139.